# Ca3CrO

Ca3CrO after structural relaxation (PBE with a Hubbard U, Alexandria).

Unit cell a=4.900 b=4.900 c=4.900 alpha=90.00 beta=90.00 gamma=90.00
Site moments in Bohr magnetons follow the coordinates.
Element x y z (fractional)
Cr (0.500, 0.500, 0.500)  1.13
Ca (0.000, 0.500, 0.000)  0.04
Ca (0.000, 0.000, 0.500)  0.05
Ca (0.500, 0.000, 0.000)  0.07
O (0.000, 0.000, 0.000)  0.02

Properties
**Crystal system**: cubic
**Fermi-level density of states**: 0.54 states/eV per atom
**Excess energy over the best structure of this formula in the dataset**: 0 meV/atom
**M_tot**: 2.13 μB/cell
**Total energy**: -21.1 eV per cell